1.
Here is a geometry-optimized SrReH2 structure from the Alexandria database. Energies are from GGA-PBE.

## Properties
symmetry = I-42d (122)

a b c (Å): 5.3228 5.3228 7.3419
angles (deg): 90.00 90.00 90.00
Fractional positions:
Sr 0.0000 0.0000 0.0000
Sr 0.0000 0.5000 0.2500
Sr 0.5000 0.0000 0.7500
Sr 0.5000 0.5000 0.5000
Re 0.0000 0.0000 0.5000
Re 0.0000 0.5000 0.7500
Re 0.5000 0.0000 0.2500
Re 0.5000 0.5000 0.0000
H 0.1568 0.2500 0.6250
H 0.2500 0.6568 0.8750
H 0.2500 0.8432 0.3750
H 0.3432 0.2500 0.1250
H 0.6568 0.7500 0.1250
H 0.7500 0.1568 0.3750
H 0.7500 0.3432 0.8750
H 0.8432 0.7500 0.6250

=====

2.
Here is a geometry-optimized Sr2ReH structure from the Alexandria database. Energies are from GGA-PBE.

## Properties
symmetry = Fm-3m (225)

a b c (Å): 7.3830 7.3830 7.3830
angles (deg): 90.00 90.00 90.00
Fractional positions:
Sr 0.2500 0.2500 0.2500
Sr 0.2500 0.2500 0.7500
Sr 0.2500 0.7500 0.2500
Sr 0.2500 0.7500 0.7500
Sr 0.7500 0.2500 0.2500
Sr 0.7500 0.2500 0.7500
Sr 0.7500 0.7500 0.2500
Sr 0.7500 0.7500 0.7500
Re 0.0000 0.0000 0.0000
Re 0.0000 0.5000 0.5000
Re 0.5000 0.0000 0.5000
Re 0.5000 0.5000 0.0000
H 0.0000 0.0000 0.5000
H 0.0000 0.5000 0.0000
H 0.5000 0.0000 0.0000
H 0.5000 0.5000 0.5000

=====

Number 1: energy above the most stable polymorph in this dataset 0.000 eV per formula unit. Number 2: energy above the most stable polymorph in this dataset 0.776 eV per formula unit.